Arrangement P

A geometry-optimized NaZnHg2Pd structure. Source: Alexandria, functional PBE.

## Properties
Total moment ... 0.0 μB/cell
ρ ... 6.5 g cm⁻³
D(E_F) ... 0.30 states/eV/atom
Crystal system ... tetragonal

The structure in extended XYZ format:
```
5
Lattice="5.286 0.000 0.000 0.000 5.286 0.000 0.000 0.000 5.412" Properties=species:S:1:pos:R:3 pbc="T T T"
Na 0.000 0.000 0.000
Zn 2.643 2.643 0.000
Hg 0.000 2.643 2.706
Hg 2.643 0.000 2.706
Pd 0.000 0.000 2.706
```

***

Arrangement Q

A geometry-optimized NaZnHg2Pd structure. Source: Alexandria, functional PBE.

## Properties
Total moment ... 0.0 μB/cell
ρ ... 7.2 g cm⁻³
D(E_F) ... 0.39 states/eV/atom
Crystal system ... tetragonal

The structure in extended XYZ format:
```
5
Lattice="5.310 0.000 0.000 0.000 5.310 0.000 0.000 0.000 4.865" Properties=species:S:1:pos:R:3 pbc="T T T"
Na 0.000 0.000 0.000
Zn 2.655 2.655 0.000
Hg 0.000 2.655 2.433
Hg 2.655 0.000 2.433
Pd 2.655 2.655 2.433
```

***

According to the calculations, the structures order from most to least stable as arrangement Q, arrangement P.

***

Arrangement P

A geometry-optimized NaPm2Hg3 structure. Source: Alexandria, functional PBE.

## Properties
Total moment ... 0.2 μB/cell
ρ ... 9.3 g cm⁻³
D(E_F) ... 0.76 states/eV/atom
Crystal system ... tetragonal

The structure in extended XYZ format:
```
6
Lattice="3.773 0.000 0.000 0.000 3.773 0.000 0.000 0.000 11.529" Properties=species:S:1:pos:R:3 pbc="T T T"
Na 0.000 0.000 0.000
Pm 0.000 0.000 3.831
Pm 0.000 0.000 7.699
Hg 1.886 1.886 1.991
Hg 1.886 1.886 5.765
Hg 1.886 1.886 9.539
```

***

Arrangement Q

A geometry-optimized NaPm2Hg3 structure. Source: Alexandria, functional PBE.

## Properties
Total moment ... 0.0 μB/cell
ρ ... 9.5 g cm⁻³
D(E_F) ... 0.79 states/eV/atom
Crystal system ... trigonal

The structure in extended XYZ format:
```
12
Lattice="5.309 0.000 0.000 -2.655 4.598 0.000 0.000 0.000 13.041" Properties=species:S:1:pos:R:3 pbc="T T T"
Na 0.000 3.065 2.159
Na 2.655 1.533 10.882
Pm 0.000 0.000 0.000
Pm 0.000 0.000 6.520
Pm 0.000 3.065 8.836
Pm 2.655 1.533 4.204
Hg 0.000 0.000 3.237
Hg 0.000 0.000 9.804
Hg 0.000 3.065 5.434
Hg 0.000 3.065 12.017
Hg 2.655 1.533 1.024
Hg 2.655 1.533 7.607
```

***

According to the calculations, the structures order from most to least stable as arrangement Q, arrangement P.

***

Arrangement P

A geometry-optimized NaPmHg structure. Source: Alexandria, functional PBE.

## Properties
Total moment ... 0.0 μB/cell
ρ ... 6.9 g cm⁻³
D(E_F) ... 0.76 states/eV/atom
Crystal system ... orthorhombic

The structure in extended XYZ format:
```
6
Lattice="-1.727 2.756 9.352 1.727 -2.756 9.352 1.727 2.756 -9.352" Properties=species:S:1:pos:R:3 pbc="T T T"
Na 0.000 1.374 0.000
Na 0.000 4.138 0.000
Pm 1.727 0.000 3.322
Pm 0.000 2.756 6.031
Hg 1.727 0.000 6.517
Hg 0.000 2.756 2.836
```

***

Arrangement Q

A geometry-optimized NaPmHg structure. Source: Alexandria, functional PBE.

## Properties
Total moment ... 0.0 μB/cell
ρ ... 7.5 g cm⁻³
D(E_F) ... 0.94 states/eV/atom
Crystal system ... trigonal

The structure in extended XYZ format:
```
3
Lattice="5.249 0.000 0.000 -2.624 4.546 0.000 0.000 0.000 3.418" Properties=species:S:1:pos:R:3 pbc="T T T"
Na 0.000 0.000 0.000
Pm 0.000 3.030 1.718
Hg 2.624 1.515 0.022
```

***

Arrangement R

A geometry-optimized NaPmHg structure. Source: Alexandria, functional PBE.

## Properties
Total moment ... 0.0 μB/cell
ρ ... 6.6 g cm⁻³
D(E_F) ... 0.55 states/eV/atom
Crystal system ... tetragonal

The structure in extended XYZ format:
```
3
Lattice="-1.854 1.854 6.732 1.854 -1.854 6.732 1.854 1.854 -6.732" Properties=species:S:1:pos:R:3 pbc="T T T"
Na 0.000 0.000 0.000
Pm 0.000 0.000 9.680
Hg 0.000 0.000 4.713
```

***

According to the calculations, the structures order from most to least stable as arrangement R, arrangement P, arrangement Q.

***

Arrangement P

A geometry-optimized Na2PmHg3 structure. Source: Alexandria, functional PBE.

## Properties
Total moment ... 0.0 μB/cell
ρ ... 8.3 g cm⁻³
D(E_F) ... 0.65 states/eV/atom
Crystal system ... orthorhombic

The structure in extended XYZ format:
```
12
Lattice="2.640 -7.936 0.000 2.640 7.936 0.000 0.000 0.000 7.575" Properties=species:S:1:pos:R:3 pbc="T T T"
Na 0.000 0.000 0.000
Na 0.000 0.000 3.788
Na 2.640 2.641 0.000
Na 2.640 -2.641 0.000
Pm 2.640 2.597 3.788
Pm 2.640 -2.597 3.788
Hg 2.640 5.247 1.941
Hg 2.640 5.247 5.634
Hg 2.640 0.000 1.884
Hg 2.640 0.000 5.691
Hg 2.640 -5.247 1.941
Hg 2.640 -5.247 5.634
```

***

Arrangement Q

A geometry-optimized Na2PmHg3 structure. Source: Alexandria, functional PBE.

## Properties
Total moment ... 0.0 μB/cell
ρ ... 8.4 g cm⁻³
D(E_F) ... 0.75 states/eV/atom
Crystal system ... trigonal

The structure in extended XYZ format:
```
6
Lattice="5.304 0.000 0.000 -2.652 4.593 0.000 0.000 0.000 6.418" Properties=species:S:1:pos:R:3 pbc="T T T"
Na 0.000 3.062 0.932
Na 2.652 1.531 5.486
Pm 0.000 0.000 3.209
Hg 0.000 0.000 0.000
Hg 0.000 3.062 4.128
Hg 2.652 1.531 2.290
```

***

According to the calculations, the structures order from most to least stable as arrangement Q, arrangement P.

***

Arrangement P

A geometry-optimized NaPm2Hg4 structure. Source: Alexandria, functional PBE.

## Properties
Total moment ... 0.0 μB/cell
ρ ... 8.3 g cm⁻³
D(E_F) ... 0.74 states/eV/atom
Crystal system ... tetragonal

The structure in extended XYZ format:
```
7
Lattice="-2.665 2.665 7.820 2.665 -2.665 7.820 2.665 2.665 -7.820" Properties=species:S:1:pos:R:3 pbc="T T T"
Na 0.000 0.000 0.000
Pm 0.000 0.000 6.035
Pm 0.000 0.000 9.605
Hg 2.665 0.000 0.000
Hg 0.000 0.000 2.943
Hg 0.000 2.665 0.000
Hg 0.000 0.000 12.697
```

***

Arrangement Q

A geometry-optimized NaPm2Hg4 structure. Source: Alexandria, functional PBE.

## Properties
Total moment ... 0.0 μB/cell
ρ ... 9.4 g cm⁻³
D(E_F) ... 0.73 states/eV/atom
Crystal system ... trigonal

The structure in extended XYZ format:
```
7
Lattice="2.587 1.493 8.483 -2.587 1.493 8.483 0.000 -2.987 8.483" Properties=species:S:1:pos:R:3 pbc="T T T"
Na 0.000 0.000 0.000
Pm 0.000 0.000 6.346
Pm 0.000 0.000 19.103
Hg 0.000 0.000 3.217
Hg 0.000 0.000 9.568
Hg 0.000 0.000 15.881
Hg 0.000 0.000 22.231
```

***

According to the calculations, the structures order from most to least stable as arrangement Q, arrangement P.

***

Arrangement P

A geometry-optimized NaPmHg4 structure. Source: Alexandria, functional PBE.

## Properties
Total moment ... 0.0 μB/cell
ρ ... 10.5 g cm⁻³
D(E_F) ... 0.57 states/eV/atom
Crystal system ... monoclinic

The structure in extended XYZ format:
```
6
Lattice="4.386 -4.236 0.000 4.386 4.236 0.000 -2.930 0.000 4.148" Properties=species:S:1:pos:R:3 pbc="T T T"
Na 0.000 0.000 0.000
Pm 2.921 -0.006 2.074
Hg 0.094 1.437 3.181
Hg 0.090 -1.444 3.176
Hg 5.749 1.437 0.966
Hg 5.752 -1.444 0.971
```

***

Arrangement Q

A geometry-optimized NaPmHg4 structure. Source: Alexandria, functional PBE.

## Properties
Total moment ... 0.0 μB/cell
ρ ... 10.6 g cm⁻³
D(E_F) ... 0.35 states/eV/atom
Crystal system ... monoclinic

The structure in extended XYZ format:
```
6
Lattice="5.271 -1.992 0.000 5.271 1.992 0.000 -2.906 0.000 7.254" Properties=species:S:1:pos:R:3 pbc="T T T"
Na 0.000 0.000 0.000
Pm -1.453 0.000 3.627
Hg 3.003 0.000 1.173
Hg 1.577 0.000 4.872
Hg 6.058 0.000 2.382
Hg 4.632 0.000 6.081
```

***

According to the calculations, the structures order from most to least stable as arrangement Q, arrangement P.